# 1
First-principles (PBE) data for Mg7Sn2Bi2 after structural relaxation, as listed in the Alexandria database.

The structure in POSCAR format:
```
Mg7Sn2Bi2
1.0
-5.096 1.448 -4.250
-0.121 -6.578 -2.095
-4.251 -1.537 5.069
Sn Mg Bi
2 7 2
Cartesian
-4.860 0.613 -1.647 Sn
-4.608 -7.280 0.370 Sn
-6.828 -2.417 2.433 Mg
-4.761 -4.806 -1.107 Mg
-7.312 -4.294 -3.300 Mg
-2.640 -4.250 -3.709 Mg
0.000 0.000 0.000 Mg
-2.156 -2.373 2.024 Mg
-4.707 -1.861 -0.169 Mg
-7.403 -3.359 -0.404 Bi
-2.064 -3.308 -0.872 Bi
```

Computed properties:
Uncorrected energy, eV per atom: -2.597
M_tot, μB/f.u.: 0.00
Symmetry: Cmmm, No. 65

# 2
First-principles (PBE) data for LaHo4Ga4 after structural relaxation, as listed in the Alexandria database.

The structure in POSCAR format:
```
LaHo4Ga4
1.0
-0.781 3.473 -4.670
0.592 -7.396 -5.600
-9.195 -1.216 0.633
Ho Ga La
8 8 2
Cartesian
-0.795 -3.735 -5.460 Ho
-8.403 -2.229 -3.068 Ho
-1.994 -0.124 -6.265 Ho
-5.483 -1.556 -1.117 Ho
-7.984 -2.367 -6.932 Ho
-6.090 -5.341 -7.523 Ho
-3.478 1.028 -3.223 Ho
-3.304 -6.231 -4.959 Ho
-6.177 -6.789 -4.913 Ga
-2.615 -0.980 -1.188 Ga
-3.304 -4.069 -7.063 Ga
-2.076 -1.590 -3.630 Ga
-8.399 -0.086 -5.147 Ga
-1.575 -2.423 -8.026 Ga
-7.117 -4.393 -4.872 Ga
-6.268 -0.226 -3.708 Ga
0.000 0.000 0.000 La
-4.691 -2.569 -4.819 La
```

Computed properties:
Uncorrected energy, eV per atom: -4.282
M_tot, μB/f.u.: 0.00
Symmetry: P4_2/n, No. 86

# 3
First-principles (PBE) data for TaAsRu after structural relaxation, as listed in the Alexandria database.

The structure in POSCAR format:
```
TaAsRu
1.0
-0.491 0.541 2.866
-2.277 -0.213 -1.876
-0.341 -6.274 1.126
Ta As Ru
1 1 1
Cartesian
-1.907 -4.107 0.448 Ta
-0.004 -0.082 0.015 As
-1.198 -1.757 1.653 Ru
```

Computed properties:
Uncorrected energy, eV per atom: -8.591
M_tot, μB/f.u.: 0.00
Symmetry: P3m1, No. 156

# 4
First-principles (PBE) data for ZrZnRu2 after structural relaxation, as listed in the Alexandria database.

The structure in POSCAR format:
```
ZrZnRu2
1.0
-1.982 -3.132 -1.467
2.303 -1.707 0.533
0.361 -2.805 5.504
Ru Zn Zr
2 1 1
Cartesian
-0.317 -2.691 0.760 Ru
2.276 -1.724 0.605 Ru
1.368 -2.236 2.927 Zn
0.990 -4.956 3.830 Zr
```

Computed properties:
Uncorrected energy, eV per atom: -7.231
M_tot, μB/f.u.: 0.00
Symmetry: Pm, No. 6

# 5
First-principles (PBE) data for CaBiAs2 after structural relaxation, as listed in the Alexandria database.

The structure in POSCAR format:
```
CaBiAs2
1.0
-4.052 0.840 -0.076
-2.620 -2.230 2.301
-1.356 4.224 6.273
Bi As Ca
1 2 1
Cartesian
0.000 0.000 0.000 Bi
-6.016 2.152 6.404 As
-2.012 0.682 2.093 As
-4.014 1.417 4.249 Ca
```

Computed properties:
Uncorrected energy, eV per atom: -4.214
M_tot, μB/f.u.: 0.00
Symmetry: R-3m, No. 166

# 6
First-principles (PBE) data for CrNi2AsCl after structural relaxation, as listed in the Alexandria database.

The structure in POSCAR format:
```
CrNi2AsCl
1.0
-2.346 2.329 2.931
-3.164 -3.083 -0.082
2.255 -2.413 3.721
Ni Cr Cl As
2 1 1 1
Cartesian
-1.582 -1.542 -0.041 Ni
-1.173 1.165 1.466 Ni
1.127 -1.206 1.861 Cr
-1.627 -1.583 3.285 Cl
0.000 0.000 0.000 As
```

Computed properties:
Uncorrected energy, eV per atom: -5.079
M_tot, μB/f.u.: 2.34
Symmetry: P4/mmm, No. 123

# 7
First-principles (PBE) data for Zr2In2Ag after structural relaxation, as listed in the Alexandria database.

The structure in POSCAR format:
```
Zr2In2Ag
1.0
-2.031 -0.192 -2.565
2.421 -5.922 0.620
-7.710 -3.725 6.381
Ag In Zr
2 4 4
Cartesian
-2.138 -3.976 -0.104 Ag
-5.182 -5.862 4.539 Ag
0.027 -1.996 0.128 In
-4.763 -7.727 2.254 In
-7.347 -7.843 4.308 In
-2.556 -2.112 2.181 In
-2.365 -5.751 2.301 Zr
-4.955 -4.088 2.134 Zr
-7.432 -3.839 4.076 Zr
0.112 -6.000 0.359 Zr
```

Computed properties:
Energy above the most stable polymorph in this dataset, kcal/mol of atoms: 0.00
M_tot, μB/f.u.: 0.00
Symmetry: C2/m, No. 12

# 8
First-principles (PBE) data for Ca2LaAl2As4 after structural relaxation, as listed in the Alexandria database.

The structure in POSCAR format:
```
Ca2LaAl2As4
1.0
-3.167 2.676 0.159
-3.084 -3.309 -5.729
-0.971 -4.742 6.348
As La Al Ca
4 1 2 2
Cartesian
-5.469 -3.209 -0.776 As
-3.945 -1.231 -3.703 As
-3.277 -4.144 4.481 As
-1.753 -2.167 1.554 As
0.000 0.000 0.000 La
-1.691 -2.245 4.115 Al
-5.531 -3.130 -3.336 Al
-4.872 -2.687 2.329 Ca
-2.350 -2.688 -1.550 Ca
```

Computed properties:
Uncorrected energy, eV per atom: -4.778
M_tot, μB/f.u.: 0.00
Symmetry: C2/m, No. 12

# 9
First-principles (PBE) data for KLiIr2Pb after structural relaxation, as listed in the Alexandria database.

The structure in POSCAR format:
```
KLiIr2Pb
1.0
-2.666 3.584 -2.352
-2.255 0.628 3.513
3.333 3.475 1.518
Li Pb Ir K
1 1 2 1
Cartesian
-1.127 0.314 1.757 Li
-0.794 3.844 1.339 Pb
1.667 1.738 0.759 Ir
-1.333 1.792 -1.176 Ir
0.000 0.000 0.000 K
```

Computed properties:
Uncorrected energy, eV per atom: -3.192
M_tot, μB/f.u.: 0.00
Symmetry: P4/mmm, No. 123

# 10
First-principles (PBE) data for BaTlSBr after structural relaxation, as listed in the Alexandria database.

The structure in POSCAR format:
```
BaTlSBr
1.0
-4.718 -2.277 -1.806
-0.198 -2.359 -5.011
-0.423 -5.507 -0.455
S Tl Br Ba
1 1 1 1
Cartesian
0.000 0.000 0.000 S
-4.004 -7.607 -5.454 Tl
-2.670 -5.072 -3.636 Br
-1.335 -2.536 -1.818 Ba
```

Computed properties:
Energy above the most stable polymorph in this dataset, kcal/mol of atoms: 2.85
M_tot, μB/f.u.: 0.00
Symmetry: F-43m, No. 216

# 11
First-principles (PBE) data for NaPm4Sn5 after structural relaxation, as listed in the Alexandria database.

The structure in POSCAR format:
```
NaPm4Sn5
1.0
-2.345 0.668 2.513
-2.594 -0.824 -2.203
1.120 -21.805 6.838
Sn Na Pm
5 1 4
Cartesian
-2.133 -6.634 2.211 Sn
-1.465 -19.651 6.293 Sn
-2.355 -2.310 0.855 Sn
-1.910 -10.981 3.574 Sn
-1.687 -15.327 4.937 Sn
0.000 0.000 0.000 Na
0.895 -17.427 5.465 Pm
0.225 -4.377 1.373 Pm
0.449 -8.744 2.742 Pm
0.671 -13.061 4.096 Pm
```

Computed properties:
Uncorrected energy, eV per atom: -4.600
M_tot, μB/f.u.: 0.00
Symmetry: P4/mmm, No. 123

# 12
First-principles (PBE) data for NaUNi2S4 after structural relaxation, as listed in the Alexandria database.

The structure in POSCAR format:
```
NaUNi2S4
1.0
6.300 0.000 0.000
3.150 4.700 0.028
3.150 0.413 4.682
S Na Ni U
4 1 2 1
Cartesian
7.788 2.294 0.083 S
7.788 2.819 4.627 S
4.812 4.843 2.431 S
4.812 0.271 2.280 S
0.000 0.000 0.000 Na
9.450 3.632 3.345 Ni
3.150 1.482 1.365 Ni
6.300 2.557 2.355 U
```

Computed properties:
Uncorrected energy, eV per atom: -5.817
M_tot, μB/f.u.: 1.13
Symmetry: I222, No. 23

# 13
First-principles (PBE) data for YSbIrI2 after structural relaxation, as listed in the Alexandria database.

The structure in POSCAR format:
```
YSbIrI2
1.0
5.369 0.000 0.000
0.000 5.369 0.000
0.000 0.000 5.277
I Y Sb Ir
2 1 1 1
Cartesian
2.684 0.000 0.000 I
0.000 2.684 0.000 I
2.684 2.684 2.639 Y
0.000 0.000 2.639 Sb
0.000 0.000 0.000 Ir
```

Computed properties:
Energy above the most stable polymorph in this dataset, kcal/mol of atoms: 0.00
M_tot, μB/f.u.: 0.00
Symmetry: P4/mmm, No. 123

# 14
First-principles (PBE) data for Na3Ag2Hg after structural relaxation, as listed in the Alexandria database.

The structure in POSCAR format:
```
Na3Ag2Hg
1.0
-4.075 -1.300 1.123
0.773 -4.078 -1.915
4.841 -4.749 12.065
Hg Ag Na
2 4 6
Cartesian
-1.268 -5.713 6.198 Hg
0.000 0.000 0.000 Hg
1.580 -1.551 3.939 Ag
0.312 -7.264 10.138 Ag
-2.848 -4.162 2.259 Ag
3.260 -3.198 8.126 Ag
-1.226 -1.447 2.586 Na
1.990 -4.602 10.603 Na
-0.042 -4.266 3.612 Na
0.383 -3.024 6.594 Na
-1.651 -2.689 -0.396 Na
1.582 -5.860 7.660 Na
```

Computed properties:
Uncorrected energy, eV per atom: -1.721
M_tot, μB/f.u.: 0.00
Symmetry: Cmmm, No. 65

# 15
First-principles (PBE) data for Li6InSn5 after structural relaxation, as listed in the Alexandria database.

The structure in POSCAR format:
```
Li6InSn5
1.0
4.729 1.269 -0.002
3.130 7.809 -0.025
1.568 3.881 7.354
In Sn Li
1 5 6
Cartesian
0.000 0.000 0.000 In
1.565 3.890 2.426 Sn
7.862 9.069 4.902 Sn
3.930 4.517 4.919 Sn
3.929 4.539 -0.013 Sn
5.497 8.442 2.408 Sn
3.528 6.170 2.448 Li
3.529 6.150 7.342 Li
4.333 2.896 2.460 Li
5.094 10.063 4.867 Li
5.898 6.809 -0.015 Li
5.899 6.789 4.879 Li
```

Computed properties:
Energy above the most stable polymorph in this dataset, kcal/mol of atoms: 0.07
M_tot, μB/f.u.: 0.00
Symmetry: P-1, No. 2

# 16
First-principles (PBE) data for Ac2TmAl3Hg12 after structural relaxation, as listed in the Alexandria database.

The structure in POSCAR format:
```
Ac2TmAl3Hg12
1.0
9.332 0.367 0.260
4.928 7.934 0.260
4.928 2.868 7.402
Ac Al Hg Tm
2 3 12 1
Cartesian
11.360 6.612 4.690 Ac
7.828 4.556 3.232 Ac
2.464 3.967 0.130 Al
2.464 1.434 3.701 Al
4.666 0.183 0.130 Al
6.759 2.024 1.435 Hg
8.874 8.281 5.874 Hg
11.583 3.627 5.874 Hg
10.314 2.888 2.048 Hg
11.583 6.742 1.481 Hg
12.428 9.145 6.487 Hg
5.098 2.967 4.129 Hg
7.604 4.426 6.441 Hg
14.090 6.291 6.487 Hg
14.090 8.201 3.793 Hg
5.098 4.878 1.435 Hg
7.604 7.542 2.048 Hg
0.000 0.000 0.000 Tm
```

Computed properties:
Uncorrected energy, eV per atom: -1.533
M_tot, μB/f.u.: 0.00
Symmetry: R-3m, No. 166

# 17
First-principles (PBE) data for ZrSi3Ni3 after structural relaxation, as listed in the Alexandria database.

The structure in POSCAR format:
```
ZrSi3Ni3
1.0
6.114 0.000 0.000
0.000 6.114 0.000
0.000 0.000 6.114
Ni Zr Si
6 2 6
Cartesian
3.057 4.585 0.000 Ni
4.585 0.000 3.057 Ni
0.000 3.057 4.585 Ni
3.057 1.528 0.000 Ni
0.000 3.057 1.528 Ni
1.528 0.000 3.057 Ni
0.000 0.000 0.000 Zr
3.057 3.057 3.057 Zr
3.057 0.000 1.528 Si
0.000 4.585 3.057 Si
3.057 0.000 4.585 Si
0.000 1.528 3.057 Si
1.528 3.057 0.000 Si
4.585 3.057 0.000 Si
```

Computed properties:
Uncorrected energy, eV per atom: -6.049
M_tot, μB/f.u.: 0.00
Symmetry: Pm-3n, No. 223

# 18
First-principles (PBE) data for TcTeCl2 after structural relaxation, as listed in the Alexandria database.

The structure in POSCAR format:
```
TcTeCl2
1.0
-3.918 2.043 1.376
0.894 -1.117 4.205
2.188 3.826 0.551
Te Cl Tc
1 2 1
Cartesian
-0.865 2.935 0.963 Te
0.000 0.000 0.000 Cl
1.541 1.355 2.378 Cl
-1.512 0.463 2.791 Tc
```

Computed properties:
Energy above the most stable polymorph in this dataset, kcal/mol of atoms: 22.82
M_tot, μB/f.u.: 4.51
Symmetry: P4/mmm, No. 123

# 19
First-principles (PBE) data for KSmHgPb after structural relaxation, as listed in the Alexandria database.

The structure in POSCAR format:
```
KSmHgPb
1.0
-2.834 -0.078 -4.830
-4.654 -3.080 -0.466
-4.994 2.509 -0.357
Hg Pb K Sm
1 1 1 1
Cartesian
0.000 0.000 0.000 Hg
-6.241 -0.324 -2.826 Pb
-3.121 -0.162 -1.413 K
-9.362 -0.486 -4.239 Sm
```

Computed properties:
Uncorrected energy, eV per atom: -2.711
M_tot, μB/f.u.: 0.00
Symmetry: F-43m, No. 216

# 20
First-principles (PBE) data for NbAsPtSe2 after structural relaxation, as listed in the Alexandria database.

The structure in POSCAR format:
```
NbAsPtSe2
1.0
4.926 0.000 0.000
0.000 4.926 0.000
0.000 0.000 5.036
Nb Se Pt As
1 2 1 1
Cartesian
0.000 0.000 0.000 Nb
2.463 0.000 0.000 Se
0.000 2.463 0.000 Se
2.463 2.463 2.518 Pt
0.000 0.000 2.518 As
```

Computed properties:
Energy above the most stable polymorph in this dataset, kcal/mol of atoms: 0.00
M_tot, μB/f.u.: 0.00
Symmetry: P4/mmm, No. 123

# 21
First-principles (PBE) data for Pu5IrRu2 after structural relaxation, as listed in the Alexandria database.

The structure in POSCAR format:
```
Pu5IrRu2
1.0
6.740 0.000 0.048
0.000 6.821 -0.001
-3.391 -3.408 3.351
Ru Pu Ir
2 5 1
Cartesian
-0.375 3.413 1.496 Ru
3.560 0.002 1.526 Ru
1.763 -1.753 3.171 Pu
1.762 1.758 3.171 Pu
-1.607 -1.653 3.204 Pu
-1.606 1.658 3.204 Pu
2.929 3.412 1.519 Pu
0.196 0.000 1.499 Ir
```

Computed properties:
Uncorrected energy, eV per atom: -12.524
M_tot, μB/f.u.: 11.72
Symmetry: Imm2, No. 44

# 22
First-principles (PBE) data for NdIn2SnSe4 after structural relaxation, as listed in the Alexandria database.

The structure in POSCAR format:
```
NdIn2SnSe4
1.0
-1.371 -3.937 -0.803
0.317 -1.628 7.445
-6.620 1.664 3.144
Se Nd In Sn
4 1 2 1
Cartesian
-5.480 -1.180 3.916 Se
-4.698 0.036 7.847 Se
-2.976 -3.938 1.940 Se
-2.194 -2.722 5.870 Se
-3.151 0.018 5.295 Nd
-3.995 -1.137 1.171 In
-6.620 1.664 3.144 In
-7.147 -1.119 6.465 Sn
```

Computed properties:
Uncorrected energy, eV per atom: -4.340
M_tot, μB/f.u.: 0.00
Symmetry: P2/m, No. 10

# 23
First-principles (PBE) data for ZnIn4Hg7 after structural relaxation, as listed in the Alexandria database.

The structure in POSCAR format:
```
ZnIn4Hg7
1.0
-0.939 3.935 -2.720
-3.191 -1.435 3.394
6.997 8.780 10.289
In Hg Zn
4 7 1
Cartesian
-1.083 2.907 0.211 In
0.706 5.152 2.842 In
2.161 6.129 8.123 In
3.950 8.374 10.754 In
4.111 9.425 7.849 Hg
2.272 7.117 5.145 Hg
5.183 6.503 7.621 Hg
-1.244 1.856 3.115 Hg
0.595 4.164 5.820 Hg
1.814 2.277 2.668 Hg
0.000 0.000 0.000 Hg
3.499 4.390 5.145 Zn
```

Computed properties:
Uncorrected energy, eV per atom: -1.164
M_tot, μB/f.u.: 0.00
Symmetry: P-3m1, No. 164